# 1
A plane-wave DFT calculation with GGA-PBE was carried out for an optimized crystal structure of LaPm3Hg.

## Properties
* energy of formation: -16.28 kJ/mol of atoms
* DOS(E_F): 12.8 states/eV/cell
* uncorrected energy: -4.06 eV per atom
* relative energy among the computed polymorphs: 0.00 eV/f.u.
* crystal system: monoclinic

Cell: 15.257 15.257 5.717 Å, 90.27 90.27 14.06°
Positions (direct):
La 0.234 0.234 0.249
La 0.766 0.766 0.751
Pm 0.158 0.158 0.748
Pm 0.374 0.374 0.755
Pm 0.453 0.453 0.269
Pm 0.547 0.547 0.731
Pm 0.626 0.626 0.245
Pm 0.842 0.842 0.252
Hg 0.041 0.041 0.220
Hg 0.959 0.959 0.780

=====

# 2
A plane-wave DFT calculation with GGA-PBE was carried out for an optimized crystal structure of Tl2CuPd2.

## Properties
* energy of formation: 11.63 kJ/mol of atoms
* DOS(E_F): 4.4 states/eV/cell
* uncorrected energy: -3.72 eV per atom
* relative energy among the computed polymorphs: 0.63 eV/f.u.
* crystal system: tetragonal

Cell: 7.545 7.545 3.435 Å, 90.00 90.00 90.00°
Positions (direct):
Tl 0.159 0.341 0.000
Tl 0.341 0.841 0.000
Tl 0.659 0.159 0.000
Tl 0.841 0.659 0.000
Cu 0.000 0.000 0.000
Cu 0.500 0.500 0.000
Pd 0.140 0.640 0.500
Pd 0.360 0.140 0.500
Pd 0.640 0.860 0.500
Pd 0.860 0.360 0.500

=====

# 3
A plane-wave DFT calculation with GGA-PBE was carried out for an optimized crystal structure of LaSn2Ge.

## Properties
* energy of formation: -50.23 kJ/mol of atoms
* DOS(E_F): 2.3 states/eV/cell
* uncorrected energy: -4.91 eV per atom
* crystal system: tetragonal

Cell: 4.602 4.602 4.896 Å, 90.00 90.00 90.00°
Positions (direct):
La 0.000 0.000 0.000
Sn 0.000 0.500 0.500
Sn 0.500 0.000 0.500
Ge 0.500 0.500 0.000

=====

# 4
A plane-wave DFT calculation with GGA-PBE was carried out for an optimized crystal structure of Li2ErSnSe4.

## Properties
* DOS(E_F): 1.5 states/eV/cell
* uncorrected energy: -4.48 eV per atom
* crystal system: monoclinic
* E_form (uncorrected): -1185.1 meV/atom

Cell: 6.904 4.005 7.050 Å, 90.00 110.08 90.00°
Positions (direct):
Li 0.000 0.000 0.000
Li 0.000 0.500 0.500
Er 0.500 0.000 0.500
Sn 0.500 0.500 0.000
Se 0.243 0.000 0.743
Se 0.247 0.500 0.248
Se 0.753 0.500 0.752
Se 0.757 0.000 0.257